(1)
# BaMnOsPb2

Crystalline BaMnOsPb2 at its relaxed geometry (PBE, the Alexandria database).

POSCAR file:
```
BaMnOsPb2
1.0
5.341 0.000 0.000
0.000 5.341 0.000
0.000 0.000 5.065
Ba Mn Os Pb
1 1 1 2
Direct
0.000 0.000 0.000
0.500 0.500 0.000
0.500 0.500 0.500
0.000 0.500 0.500
0.500 0.000 0.500
```

Results
ΔH_f (0 K) = 353 meV/atom
raw total energy = -5.5949 eV per atom
space group = P4/mmm
V = 28.9 Å³/atom



(2)
# Ba2MnReOs

Crystalline Ba2MnReOs at its relaxed geometry (PBE, the Alexandria database).

POSCAR file:
```
Ba2MnReOs
1.0
6.066 0.000 0.000
0.000 6.066 0.000
0.000 0.000 4.706
Ba Mn Re Os
2 1 1 1
Direct
0.000 0.500 0.000
0.500 0.000 0.000
0.000 0.000 0.500
0.500 0.500 0.000
0.500 0.500 0.500
```

Results
ΔH_f (0 K) = 1315 meV/atom
raw total energy = -6.0238 eV per atom
space group = P4/mmm
V = 34.6 Å³/atom



(3)
# Ba2MnOsS

Crystalline Ba2MnOsS at its relaxed geometry (PBE, the Alexandria database).

POSCAR file:
```
Ba2MnOsS
1.0
6.291 0.000 0.000
0.000 6.291 0.000
0.000 0.000 4.371
Ba Mn Os S
2 1 1 1
Direct
0.000 0.500 0.000
0.500 0.000 0.000
0.000 0.000 0.500
0.500 0.500 0.000
0.500 0.500 0.500
```

Results
raw total energy = -5.3712 eV per atom
space group = P4/mmm
V = 34.6 Å³/atom



(4)
# BaMnSn2Os

Crystalline BaMnSn2Os at its relaxed geometry (PBE, the Alexandria database).

POSCAR file:
```
BaMnSn2Os
1.0
5.107 0.000 0.000
0.000 5.107 0.000
0.000 0.000 5.994
Ba Mn Sn Os
1 1 2 1
Direct
0.000 0.000 0.000
0.500 0.500 0.000
0.000 0.500 0.500
0.500 0.000 0.500
0.000 0.000 0.500
```

Results
ΔH_f (0 K) = 558 meV/atom
raw total energy = -5.5073 eV per atom
space group = P4/mmm
V = 31.3 Å³/atom



(5)
# BaMnP2

Crystalline BaMnP2 at its relaxed geometry (PBE, the Alexandria database).

POSCAR file:
```
BaMnP2
1.0
4.223 0.000 0.000
0.000 4.237 0.000
0.000 0.000 5.741
Ba Mn P
1 1 2
Direct
0.000 0.000 0.000
0.500 0.500 0.500
0.000 0.000 0.500
0.500 0.500 0.000
```

Results
ΔH_f (0 K) = 169 meV/atom
raw total energy = -5.3091 eV per atom
space group = Pmmm
V = 25.7 Å³/atom
excess energy over the best structure of this formula in the dataset = 0.765 eV per atom



(6)
# BaMnP2

Crystalline BaMnP2 at its relaxed geometry (PBE, the Alexandria database).

POSCAR file:
```
BaMnP2
1.0
-2.625 2.625 6.828
2.625 -2.625 6.828
2.625 2.625 -6.828
Ba Mn P
2 2 4
Direct
0.375 0.625 0.750
0.625 0.375 0.250
0.125 0.875 0.250
0.875 0.125 0.750
0.000 0.000 0.000
0.000 0.000 0.500
0.000 0.500 0.000
0.500 0.000 0.500
```

Results
ΔH_f (0 K) = -596 meV/atom
raw total energy = -6.0739 eV per atom
space group = I4_1/amd
V = 23.5 Å³/atom
excess energy over the best structure of this formula in the dataset = 0.000 eV per atom



(7)
# BaMn2P

Crystalline BaMn2P at its relaxed geometry (PBE, the Alexandria database).

POSCAR file:
```
BaMn2P
1.0
3.341 0.000 0.000
0.000 3.341 0.000
0.000 0.000 7.468
Ba Mn P
1 2 1
Direct
0.000 0.000 0.000
0.000 0.000 0.554
0.500 0.500 0.352
0.500 0.500 0.671
```

Results
ΔH_f (0 K) = 110 meV/atom
raw total energy = -6.3081 eV per atom
space group = P4mm
V = 20.8 Å³/atom



(8)
# Ba2MnP

Crystalline Ba2MnP at its relaxed geometry (PBE, the Alexandria database).

POSCAR file:
```
Ba2MnP
1.0
-2.359 2.359 5.606
2.359 -2.359 5.606
2.359 2.359 -5.606
Ba Mn P
2 1 1
Direct
0.000 0.000 0.000
0.750 0.250 0.500
0.250 0.750 0.500
0.500 0.500 0.000
```

Results
ΔH_f (0 K) = 77 meV/atom
raw total energy = -4.5292 eV per atom
space group = I-4m2
V = 31.2 Å³/atom



(9)
# BaMnP2

Crystalline BaMnP2 at its relaxed geometry (PBE, the Alexandria database).

POSCAR file:
```
BaMnP2
1.0
4.833 0.000 0.000
0.000 4.833 0.000
0.000 0.000 4.016
Ba Mn P
1 1 2
Direct
0.000 0.000 0.000
0.500 0.500 0.000
0.000 0.500 0.500
0.500 0.000 0.500
```

Results
ΔH_f (0 K) = 206 meV/atom
raw total energy = -5.2716 eV per atom
space group = P4/mmm
V = 23.4 Å³/atom
excess energy over the best structure of this formula in the dataset = 0.802 eV per atom



(10)
# Ba2MnP2

Crystalline Ba2MnP2 at its relaxed geometry (PBE, the Alexandria database).

POSCAR file:
```
Ba2MnP2
1.0
7.526 0.000 0.000
0.000 7.526 0.000
0.000 0.000 4.816
Ba Mn P
4 2 4
Direct
0.185 0.315 0.000
0.315 0.815 0.000
0.685 0.185 0.000
0.815 0.685 0.000
0.000 0.000 0.500
0.500 0.500 0.500
0.107 0.607 0.500
0.393 0.107 0.500
0.607 0.893 0.500
0.893 0.393 0.500
```

Results
ΔH_f (0 K) = -410 meV/atom
raw total energy = -5.1774 eV per atom
space group = P4/mbm
V = 27.3 Å³/atom



(11)
# BaMn2P2

Crystalline BaMn2P2 at its relaxed geometry (PBE, the Alexandria database).

POSCAR file:
```
BaMn2P2
1.0
-1.906 1.906 6.440
1.906 -1.906 6.440
1.906 1.906 -6.440
Ba Mn P
1 2 2
Direct
0.000 0.000 0.000
0.250 0.750 0.500
0.750 0.250 0.500
0.347 0.347 0.000
0.653 0.653 0.000
```

Results
ΔH_f (0 K) = -755 meV/atom
raw total energy = -6.9710 eV per atom
space group = I4/mmm
V = 18.7 Å³/atom



(12)
# BaMnP4

Crystalline BaMnP4 at its relaxed geometry (PBE, the Alexandria database).

POSCAR file:
```
BaMnP4
1.0
0.000 3.992 3.992
3.992 0.000 3.992
3.992 3.992 0.000
Ba Mn P
1 1 4
Direct
0.000 0.000 0.000
0.750 0.750 0.750
0.396 0.396 0.396
0.396 0.396 0.812
0.396 0.812 0.396
0.812 0.396 0.396
```

Results
ΔH_f (0 K) = 205 meV/atom
raw total energy = -5.2505 eV per atom
space group = F-43m
V = 21.2 Å³/atom



(13)
# Ba2MnP

Crystalline Ba2MnP at its relaxed geometry (PBE, the Alexandria database).

POSCAR file:
```
Ba2MnP
1.0
4.604 0.000 0.000
0.000 4.604 0.000
0.000 0.000 6.752
Ba Mn P
2 1 1
Direct
0.000 0.000 0.000
0.500 0.500 0.418
0.000 0.000 0.541
0.500 0.500 0.889
```

Results
ΔH_f (0 K) = 129 meV/atom
raw total energy = -4.4775 eV per atom
space group = P4mm
V = 35.8 Å³/atom



(14)
# BaMnP2

Crystalline BaMnP2 at its relaxed geometry (PBE, the Alexandria database).

POSCAR file:
```
BaMnP2
1.0
0.000 3.400 3.400
3.400 0.000 3.400
3.400 3.400 0.000
Ba Mn P
1 1 2
Direct
0.000 0.000 0.000
0.500 0.500 0.500
0.250 0.250 0.250
0.750 0.750 0.750
```

Results
ΔH_f (0 K) = 506 meV/atom
raw total energy = -4.9716 eV per atom
space group = Fm-3m
V = 19.7 Å³/atom
excess energy over the best structure of this formula in the dataset = 1.102 eV per atom



(15)
# Ba2MnP

Crystalline Ba2MnP at its relaxed geometry (PBE, the Alexandria database).

POSCAR file:
```
Ba2MnP
1.0
-4.415 4.415 4.006
4.415 -4.415 4.006
4.415 4.415 -4.006
Ba Mn P
4 2 2
Direct
0.085 0.625 0.960
0.375 0.335 0.460
0.665 0.125 0.040
0.875 0.915 0.540
0.250 0.750 0.500
0.500 0.500 0.000
0.000 0.000 0.000
0.750 0.250 0.500
```

Results
ΔH_f (0 K) = 140 meV/atom
raw total energy = -4.4662 eV per atom
space group = I-42d
V = 39.0 Å³/atom



(16)
# BaMn2P

Crystalline BaMn2P at its relaxed geometry (PBE, the Alexandria database).

POSCAR file:
```
BaMn2P
1.0
0.000 3.580 3.580
3.580 0.000 3.580
3.580 3.580 0.000
Ba Mn P
1 2 1
Direct
0.000 0.000 0.000
0.500 0.500 0.500
0.750 0.750 0.750
0.250 0.250 0.250
```

Results
ΔH_f (0 K) = 572 meV/atom
raw total energy = -5.8463 eV per atom
space group = F-43m
V = 22.9 Å³/atom



(17)
# BaMn3P

Crystalline BaMn3P at its relaxed geometry (PBE, the Alexandria database).

POSCAR file:
```
BaMn3P
1.0
4.693 0.000 0.000
0.000 4.693 0.000
0.000 0.000 4.693
Ba Mn P
1 3 1
Direct
0.000 0.000 0.000
0.000 0.500 0.500
0.500 0.000 0.500
0.500 0.500 0.000
0.500 0.500 0.500
```

Results
ΔH_f (0 K) = 265 meV/atom
raw total energy = -6.7029 eV per atom
space group = Pm-3m
V = 20.7 Å³/atom
excess energy over the best structure of this formula in the dataset = 0.000 eV per atom



(18)
# BaMnP2

Crystalline BaMnP2 at its relaxed geometry (PBE, the Alexandria database).

POSCAR file:
```
BaMnP2
1.0
4.211 0.000 0.000
0.000 1.992 6.032
0.000 -1.992 6.032
Ba Mn P
1 1 2
Direct
0.000 0.000 0.000
0.500 0.770 0.770
0.000 0.713 0.713
0.500 0.368 0.368
```

Results
ΔH_f (0 K) = -415 meV/atom
raw total energy = -5.8927 eV per atom
space group = Amm2
V = 25.3 Å³/atom
excess energy over the best structure of this formula in the dataset = 0.181 eV per atom



(19)
# BaMnP2

Crystalline BaMnP2 at its relaxed geometry (PBE, the Alexandria database).

POSCAR file:
```
BaMnP2
1.0
1.925 1.111 6.713
-1.925 1.111 6.713
0.000 -2.222 6.713
Ba Mn P
1 1 2
Direct
0.000 0.000 0.000
0.826 0.826 0.826
0.214 0.214 0.214
0.442 0.442 0.442
```

Results
ΔH_f (0 K) = -490 meV/atom
raw total energy = -5.9676 eV per atom
space group = R3m
V = 21.5 Å³/atom
excess energy over the best structure of this formula in the dataset = 0.106 eV per atom



(20)
# BaMn2P

Crystalline BaMn2P at its relaxed geometry (PBE, the Alexandria database).

POSCAR file:
```
BaMn2P
1.0
3.251 0.000 0.000
0.000 3.251 0.000
0.000 0.000 7.595
Ba Mn P
1 2 1
Direct
0.000 0.000 0.000
0.500 0.500 0.340
0.500 0.500 0.660
0.000 0.000 0.500
```

Results
ΔH_f (0 K) = 348 meV/atom
raw total energy = -6.0696 eV per atom
space group = P4/mmm
V = 20.1 Å³/atom



| no. | DOS at the Fermi energy (states/eV per cell) |
| --- | --- |
| 1 | 4.0 |
| 2 | 6.4 |
| 3 | 6.0 |
| 4 | 4.4 |
| 5 | 1.8 |
| 6 | 1.6 |
| 7 | 2.8 |
| 8 | 1.9 |
| 9 | 2.7 |
| 10 | 3.9 |
| 11 | 2.4 |
| 12 | 4.0 |
| 13 | 2.6 |
| 14 | 6.1 |
| 15 | 0.7 |
| 16 | 4.8 |
| 17 | 2.3 |
| 18 | 2.7 |
| 19 | 1.5 |
| 20 | 3.8 |